# GGA-PBE BaCaSc2, relaxed
data_BaCaSc2
_chemical_formula_sum 'Ba1 Ca1 Sc2'
_cell_length_a 3.504
_cell_length_b 5.850
_cell_length_c 6.922
_cell_angle_alpha 90.00
_cell_angle_beta 101.04
_cell_angle_gamma 90.00
_symmetry_space_group_name_H-M 'P 1 2/m 1'
_symmetry_Int_Tables_number 10
_symmetry_space_group_name_Hall '-P 2y'
loop_
_atom_site_label
_atom_site_fract_x
_atom_site_fract_y
_atom_site_fract_z
_atom_site_occupancy
Ba1 0.000 0.000 0.000 1
Ca1 0.500 0.000 0.500 1
Sc1 0.294 0.500 0.711 1
# Total energy (eV/atom): -3.7849
# Calculated formation energy (meV/atom): 362

=====

# GGA-PBE Ta2NbAu2, relaxed
data_Ta2NbAu2
_chemical_formula_sum 'Ta8 Nb4 Au8'
_cell_length_a 2.776
_cell_length_b 4.842
_cell_length_c 28.902
_cell_angle_alpha 90.00
_cell_angle_beta 90.00
_cell_angle_gamma 90.00
_symmetry_space_group_name_H-M 'I m m a'
_symmetry_Int_Tables_number 74
_symmetry_space_group_name_Hall '-I 2b 2'
loop_
_atom_site_label
_atom_site_fract_x
_atom_site_fract_y
_atom_site_fract_z
_atom_site_occupancy
Ta1 0.000 0.250 0.025 1
Ta2 0.000 0.250 0.120 1
Nb1 0.000 0.250 0.573 1
Au1 0.000 0.250 0.293 1
Au2 0.000 0.250 0.832 1
# Total energy (eV/atom): -7.9243
# Calculated formation energy (meV/atom): 142

=====

# GGA-PBE CaGe2Rh, relaxed
data_CaGe2Rh
_chemical_formula_sum 'Ca4 Ge8 Rh4'
_cell_length_a 4.751
_cell_length_b 4.751
_cell_length_c 16.700
_cell_angle_alpha 90.00
_cell_angle_beta 90.00
_cell_angle_gamma 90.00
_symmetry_space_group_name_H-M 'I -4 2 d'
_symmetry_Int_Tables_number 122
_symmetry_space_group_name_Hall 'I -4 2bw'
loop_
_atom_site_label
_atom_site_fract_x
_atom_site_fract_y
_atom_site_fract_z
_atom_site_occupancy
Ca1 0.000 0.000 0.000 1
Ge1 0.085 0.250 0.625 1
Rh1 0.000 0.000 0.500 1
# Total energy (eV/atom): -4.9776
# Calculated formation energy (meV/atom): -331

=====

# GGA-PBE PuZnIO6, relaxed
data_PuZnIO6
_chemical_formula_sum 'Pu2 Zn2 I2 O12'
_cell_length_a 5.5824
_cell_length_b 5.5824
_cell_length_c 8.9907
_cell_angle_alpha 90.00
_cell_angle_beta 90.00
_cell_angle_gamma 120.00
_symmetry_space_group_name_H-M 'P -3 1 c'
_symmetry_Int_Tables_number 163
_symmetry_space_group_name_Hall '-P 3 2c'
loop_
_atom_site_label
_atom_site_fract_x
_atom_site_fract_y
_atom_site_fract_z
_atom_site_occupancy
Pu1 0.3333 0.6667 0.2500 1
Zn1 0.0000 0.0000 0.0000 1
I1 0.3333 0.6667 0.7500 1
O1 0.0049 0.3432 0.6295 1
# Energy relative to the elements, uncorrected (eV/atom): -1.285
# Total energy (eV/atom): -6.4970